# 1
Here is a relaxed structure of CrIr6W from Alexandria. Energies are from GGA-PBE.

Structure (POSCAR):
```
CrIr6W
1.0
3.867 0.000 0.000
0.000 5.466 -0.035
0.000 0.035 5.466
Cr Ir W
1 6 1
Cartesian
1.934 0.000 0.000
0.000 4.113 1.336
0.000 1.388 4.096
0.000 4.130 4.078
0.000 1.371 1.353
1.934 2.733 -0.017
1.934 0.017 2.733
1.934 2.750 2.716
```

Summary:
* E_form: -0.2683 eV per atom
* magnetization: 0.226 μB/atom
* DFT total energy: -77.9 eV per formula unit

***

# 2
Here is a relaxed structure of CrIrW2 from Alexandria. Energies are from GGA-PBE.

Structure (POSCAR):
```
CrIrW2
1.0
-4.283 1.624 1.375
-3.754 -0.572 2.907
1.461 2.859 3.593
Cr Ir W
1 1 2
Cartesian
-1.644 0.978 1.969
-4.931 2.933 5.906
-0.051 0.007 0.027
-3.236 1.949 3.910
```

Summary:
* E_form: 0.1342 eV per atom
* magnetization: 0.000 μB/atom
* DFT total energy: -43.9 eV per formula unit